P:
DFT (GGA-PBEsol) results for a relaxed structure of LaY2Co.

Values from the calculation:
- Volume: 101.32 Å³/cell
- Space-group type: No. 123
- M_tot: 0.38 μB/f.u.

Unit cell a=3.3722 b=3.3721 c=8.9100 alpha=90.00 beta=90.00 gamma=90.06
Each line ends with the local moment (μB).
Atoms (fractional coordinates):
La1 0.5000 0.5000 0.0000  -0.01
Co1 0.5000 0.5000 0.5000  0.59
Y1 0.0000 0.0000 0.3233  -0.07
Y2 0.0000 0.0000 0.6767  -0.07

***

Q:
DFT (GGA-PBEsol) results for a relaxed structure of LaY2Co.

Values from the calculation:
- Volume: 100.53 Å³/cell
- Space-group type: No. 44
- M_tot: 0.00 μB/f.u.

Unit cell a=3.5532 b=5.4203 c=6.1437 alpha=116.18 beta=106.81 gamma=90.00
Atoms (fractional coordinates):
La1 0.1881 0.6881 0.3761
Co1 0.5038 0.5038 0.0075
Y1 0.9987 0.9987 0.9974
Y2 0.8095 0.3095 0.6189

***

Quick one: least stable of them? Q